Arrangement a

AlSnSb3: optimized geometry, GGA-PBE.

Results
Crystal system   cubic
DOS at the Fermi energy   0.6974 states/eV per atom
Magnetization   0.000 μB per atom

Lattice parameters (Å, degrees): 5.3119 5.3119 5.3119 90.00 90.00 90.00
With the nearest neighbours (Å) after each atom.
Space group Pm-3m (No. 221)
Symmetry-distinct sites (fractional):
Al: 0.0000 0.0000 0.0000 x1  6 Sb 2.66
Sn: 0.5000 0.5000 0.5000 x1  12 Sb 3.76
Sb: 0.0000 0.0000 0.5000 x3  2 Al 2.66



Arrangement b

AlSnSb3: optimized geometry, GGA-PBE.

Results
Crystal system   cubic
DOS at the Fermi energy   0.9716 states/eV per atom
Magnetization   0.000 μB per atom

Lattice parameters (Å, degrees): 5.6639 5.6639 5.6639 90.00 90.00 90.00
With the nearest neighbours (Å) after each atom.
Space group Pm-3m (No. 221)
Symmetry-distinct sites (fractional):
Al: 0.0000 0.0000 0.0000 x1  12 Sb 4.01
Sn: 0.5000 0.5000 0.5000 x1  6 Sb 2.83
Sb: 0.0000 0.5000 0.5000 x3  2 Sn 2.83



Relative energies in meV per atom: arrangement a 0; arrangement b 440



Arrangement a

AlSnSb2Te: optimized geometry, GGA-PBE.

Results
Crystal system   tetragonal
DOS at the Fermi energy   1.0558 states/eV per atom
Magnetization   0.000 μB per atom

Lattice parameters (Å, degrees): 5.6579 5.6579 5.7509 90.00 90.00 90.00
With the nearest neighbours (Å) after each atom.
Space group P4/mmm (No. 123)
Symmetry-distinct sites (fractional):
Al: 0.0000 0.0000 0.0000 x1  4 Te 4.00, 8 Sb 4.03
Sn: 0.5000 0.5000 0.5000 x1  4 Sb 2.83, 2 Te 2.88
Sb: 0.0000 0.5000 0.5000 x2  2 Sn 2.83
Te: 0.5000 0.5000 0.0000 x1  2 Sn 2.88



Arrangement b

AlSnSb2Te: optimized geometry, GGA-PBE.

Results
Crystal system   tetragonal
DOS at the Fermi energy   0.6773 states/eV per atom
Magnetization   0.000 μB per atom

Lattice parameters (Å, degrees): 5.2873 5.2873 5.4057 90.00 90.00 90.00
With the nearest neighbours (Å) after each atom.
Space group P4/mmm (No. 123)
Symmetry-distinct sites (fractional):
Al: 0.0000 0.0000 0.0000 x1  4 Sb 2.64, 2 Te 2.70
Sn: 0.5000 0.5000 0.5000 x1  4 Te 3.74, 8 Sb 3.78
Sb: 0.0000 0.5000 0.0000 x2  2 Al 2.64
Te: 0.0000 0.0000 0.5000 x1  2 Al 2.70



Relative energies in meV per atom: arrangement a 415; arrangement b 0



Arrangement a

Sr2AlSb2: optimized geometry, GGA-PBE.

Results
Crystal system   tetragonal
DOS at the Fermi energy   0.5983 states/eV per atom
Magnetization   0.000 μB per atom

Lattice parameters (Å, degrees): 8.0601 8.0601 4.8474 90.00 90.00 90.00
With the nearest neighbours (Å) after each atom.
Space group P4/mbm (No. 127)
Symmetry-distinct sites (fractional):
Sr: 0.1754 0.3246 0.0000 x4  6 Sb 3.28-3.47
Al: 0.0000 0.0000 0.5000 x2  4 Sb 3.16
Sb: 0.1301 0.6301 0.5000 x4  1 Sb 2.97, 2 Al 3.16, 2 Sr 3.28



Arrangement b

Sr2AlSb2: optimized geometry, GGA-PBE.

Results
Crystal system   monoclinic
DOS at the Fermi energy   0.4955 states/eV per atom
Magnetization   0.000 μB per atom

Lattice parameters (Å, degrees): 9.8297 13.7898 6.9029 90.00 134.54 90.00
With the nearest neighbours (Å) after each atom.
Space group C2/c (No. 15)
Symmetry-distinct sites (fractional):
Sr: 0.1968 0.1396 0.1968 x8  2 Al 3.34-3.35, 6 Sb 3.37-3.65
Al: 0.0000 0.5001 0.2500 x4  4 Sb 2.80
Sb: 0.2165 0.3837 0.2160 x8  2 Al 2.80



Relative energies in meV per atom: arrangement a 137; arrangement b 0